Computed, not measured: CuBRh3 at its PBEsol-relaxed geometry at the SCAN level of DFT.

Its size of the total moment is 0.0 μB per cell. The total energy comes out at -24.74 eV/atom. As for the space group: Pm-3m, No. 221.

a = 3.993 Å, b = 3.993 Å, c = 3.993 Å
α = 90.00°, β = 90.00°, γ = 90.00°
Fractional positions:
B1 0.000 0.000 0.000
Rh1 0.000 0.500 0.000
Rh2 0.000 0.000 0.500
Rh3 0.500 0.000 0.000
Cu1 0.500 0.500 0.500